# Nb2Ni5Te6 SCAN single point on PBEsol structure
# Symmetry: P-1
# Total moment (μB/atom): 0.000
# Raw formation energy (eV/atom): -0.36
data_Nb2Ni5Te6
_chemical_formula_sum 'Nb4 Ni10 Te12'
_symmetry_space_group_name_H-M 'P 1'
_symmetry_Int_Tables_number 1
_cell_length_a 7.435
_cell_length_b 8.187
_cell_length_c 10.485
_cell_angle_alpha 67.40
_cell_angle_beta 69.61
_cell_angle_gamma 63.33
loop_
_symmetry_equiv_pos_as_xyz
'x,y,z'
loop_
_atom_site_label
_atom_site_fract_x
_atom_site_fract_y
_atom_site_fract_z
Nb1 0.123 0.211 0.290
Nb2 0.375 0.797 0.703
Nb3 0.625 0.203 0.297
Nb4 0.877 0.789 0.710
Ni1 0.066 0.046 0.571
Ni2 0.117 0.597 0.913
Ni3 0.267 0.220 0.993
Ni4 0.379 0.397 0.088
Ni5 0.431 0.953 0.428
Ni6 0.569 0.047 0.572
Ni7 0.621 0.603 0.912
Ni8 0.733 0.780 0.007
Ni9 0.883 0.403 0.087
Ni10 0.934 0.954 0.429
Te1 0.004 0.590 0.172
Te2 0.023 0.034 0.158
Te3 0.236 0.280 0.499
Te4 0.262 0.714 0.505
Te5 0.467 0.972 0.841
Te6 0.494 0.579 0.171
Te7 0.506 0.421 0.829
Te8 0.533 0.028 0.159
Te9 0.738 0.286 0.495
Te10 0.764 0.720 0.501
Te11 0.977 0.966 0.842
Te12 0.996 0.410 0.828